1.
VASP calculation (PBE) on a relaxed PrMnH6 crystal.

E above lowest polymorph = 240 meV/atom
Crystal system = cubic

a b c (Å): 7.606 7.606 7.606
angles (deg): 90.00 90.00 90.00
Space group Fm-3m (No. 225)
Unique sites:
Pr 0.000 0.000 0.000 [4 per cell]
Mn 0.000 0.000 0.500 [4 per cell]
H 0.000 0.000 0.289 [24 per cell]

---

2.
VASP calculation (PBE) on a relaxed Pr2MnH4 crystal.

E = -4.87 eV/atom
Crystal system = tetragonal

a b c (Å): 3.534 3.534 14.618
angles (deg): 90.00 90.00 90.00
Space group I4/mmm (No. 139)
Unique sites:
Pr 0.000 0.000 0.132 [4 per cell]
Mn 0.000 0.000 0.500 [2 per cell]
H 0.000 0.000 0.382 [4 per cell]
H 0.000 0.500 0.000 [4 per cell]

---

3.
VASP calculation (PBE) on a relaxed PrMnH5 crystal.

E = -4.64 eV/atom
Crystal system = orthorhombic

a b c (Å): 3.769 4.945 6.758
angles (deg): 90.00 90.00 90.00
Space group Immm (No. 71)
Unique sites:
Pr 0.000 0.000 0.000 [2 per cell]
Mn 0.000 0.000 0.500 [2 per cell]
H 0.000 0.248 0.337 [8 per cell]
H 0.000 0.500 0.000 [2 per cell]

---

4.
VASP calculation (PBE) on a relaxed Pr2MnH crystal.

E = -5.14 eV/atom
Crystal system = trigonal

a b c (Å): 3.3943 3.3943 27.4363
angles (deg): 90.00 90.00 120.00
Space group R-3m (No. 166, hexagonal axes)
Unique sites:
Pr 0.0000 0.0000 0.1088 [6 per cell]
Mn 0.0000 0.0000 0.0000 [3 per cell]
H 0.0000 0.0000 0.5000 [3 per cell]